DFT (PBE) results for a relaxed structure of Y3TmPa2N6.

Cell: 6.020 10.428 6.019 Å, 90.00 109.43 90.00°
Space group C2/m (No. 12)
Unique sites:
Y 0.000 0.000 0.000 (multiplicity 2)
Y 0.000 0.335 0.000 (multiplicity 4)
Tm 0.000 0.500 0.500 (multiplicity 2)
Pa 0.000 0.167 0.500 (multiplicity 4)
N 0.240 0.000 0.738 (multiplicity 4)
N 0.249 0.330 0.735 (multiplicity 8)

Output
Final energy ... -9.439 eV/atom



DFT (PBE) results for a relaxed structure of Sr2Li2Au.

Cell: 7.479 7.479 5.124 Å, 90.00 90.00 90.00°
Space group P4/mbm (No. 127)
Unique sites:
Sr 0.190 0.310 0.000 (multiplicity 4)
Li 0.134 0.634 0.500 (multiplicity 4)
Au 0.000 0.000 0.500 (multiplicity 2)

Output
Final energy ... -2.261 eV/atom
Energy relative to the lowest polymorph listed for this composition ... 114 meV/atom



DFT (PBE) results for a relaxed structure of HgBSbTe2.

Cell: 4.977 4.977 4.938 Å, 90.00 90.00 90.00°
Space group P4/mmm (No. 123)
Unique sites:
Hg 0.000 0.000 0.000 (multiplicity 1)
B 0.500 0.500 0.500 (multiplicity 1)
Sb 0.500 0.500 0.000 (multiplicity 1)
Te 0.000 0.500 0.500 (multiplicity 2)

Output
Final energy ... -2.809 eV/atom
Energy relative to the lowest polymorph listed for this composition ... 0 meV/atom